The following is a PBE calculation of a relaxed SrCd10Cu2 crystal, from Alexandria via LeMat-Bulk.

calculated formation energy	-90	meV per atom

a = 5.5464 Å, b = 14.3047 Å, c = 14.3444 Å
α = 90.00°, β = 90.00°, γ = 90.00°
Space group Fmmm (No. 69)
Unique sites:
Sr 0.0000 0.0000 0.0000 (multiplicity 4)
Cd 0.0000 0.1026 0.3856 (multiplicity 16)
Cd 0.0000 0.1647 0.1818 (multiplicity 16)
Cd 0.2500 0.2500 0.0000 (multiplicity 8)
Cu 0.2500 0.0000 0.2500 (multiplicity 8)



The following is a PBE calculation of a relaxed Sr2CdCu2 crystal, from Alexandria via LeMat-Bulk.

calculated formation energy	-168	meV per atom

a = 4.2705 Å, b = 14.7105 Å, c = 4.2734 Å
α = 90.00°, β = 90.00°, γ = 90.00°
Space group Cmmm (No. 65)
Unique sites:
Sr 0.0000 0.1319 0.0000 (multiplicity 4)
Cd 0.0000 0.5000 0.5000 (multiplicity 2)
Cu 0.0000 0.2957 0.5000 (multiplicity 4)



The following is a PBE calculation of a relaxed SrCd8Cu4 crystal, from Alexandria via LeMat-Bulk.

calculated formation energy	-74	meV per atom

a = 9.7646 Å, b = 9.7646 Å, c = 5.4023 Å
α = 90.00°, β = 90.00°, γ = 90.00°
Space group I4/mmm (No. 139)
Unique sites:
Sr 0.0000 0.0000 0.0000 (multiplicity 2)
Cd 0.0000 0.2203 0.5000 (multiplicity 8)
Cd 0.0000 0.3446 0.0000 (multiplicity 8)
Cu 0.2500 0.2500 0.2500 (multiplicity 8)



The following is a PBE calculation of a relaxed SrCdCu2 crystal, from Alexandria via LeMat-Bulk.

calculated formation energy	39	meV per atom

a = 3.4248 Å, b = 3.4248 Å, c = 7.2056 Å
α = 90.00°, β = 90.00°, γ = 90.00°
Space group P4mm (No. 99)
Unique sites:
Sr 0.0000 0.0000 0.0000 (multiplicity 1)
Cd 0.5000 0.5000 0.3439 (multiplicity 1)
Cu 0.0000 0.0000 0.5700 (multiplicity 1)
Cu 0.5000 0.5000 0.7078 (multiplicity 1)



The following is a PBE calculation of a relaxed SrCdCu3 crystal, from Alexandria via LeMat-Bulk.

calculated formation energy	1212	meV per atom

a = 5.4651 Å, b = 5.4651 Å, c = 5.4651 Å
α = 90.00°, β = 90.00°, γ = 90.00°
Space group Pm-3m (No. 221)
Unique sites:
Sr 0.0000 0.0000 0.0000 (multiplicity 1)
Cd 0.5000 0.5000 0.5000 (multiplicity 1)
Cu 0.0000 0.0000 0.5000 (multiplicity 3)



The following is a PBE calculation of a relaxed Sr2Cd4Cu crystal, from Alexandria via LeMat-Bulk.

calculated formation energy	-96	meV per atom

a = 5.0420 Å, b = 5.0420 Å, c = 17.1235 Å
α = 90.00°, β = 90.00°, γ = 90.00°
Space group I4/mmm (No. 139)
Unique sites:
Sr 0.0000 0.0000 0.1509 (multiplicity 4)
Cd 0.0000 0.0000 0.3483 (multiplicity 4)
Cd 0.0000 0.5000 0.0000 (multiplicity 4)
Cu 0.0000 0.0000 0.5000 (multiplicity 2)



The following is a PBE calculation of a relaxed SrCdCu2 crystal, from Alexandria via LeMat-Bulk.

calculated formation energy	156	meV per atom

a = 4.5311 Å, b = 4.5311 Å, c = 8.4702 Å
α = 90.00°, β = 90.00°, γ = 90.00°
Space group I-4m2 (No. 119)
Unique sites:
Sr 0.0000 0.0000 0.0000 (multiplicity 2)
Cd 0.0000 0.5000 0.7500 (multiplicity 2)
Cu 0.0000 0.0000 0.5000 (multiplicity 2)
Cu 0.0000 0.5000 0.2500 (multiplicity 2)



The following is a PBE calculation of a relaxed SrCd3Cu crystal, from Alexandria via LeMat-Bulk.

calculated formation energy	-103	meV per atom
ΔE to the lowest computed polymorph	7.0	kJ/mol of atoms

a = 5.0922 Å, b = 5.0922 Å, c = 5.0922 Å
α = 90.00°, β = 90.00°, γ = 90.00°
Space group Pm-3m (No. 221)
Unique sites:
Sr 0.0000 0.0000 0.0000 (multiplicity 1)
Cd 0.0000 0.5000 0.5000 (multiplicity 3)
Cu 0.5000 0.5000 0.5000 (multiplicity 1)



The following is a PBE calculation of a relaxed SrCd3Cu crystal, from Alexandria via LeMat-Bulk.

calculated formation energy	917	meV per atom
ΔE to the lowest computed polymorph	105.4	kJ/mol of atoms

a = 6.4930 Å, b = 6.4930 Å, c = 6.4930 Å
α = 90.00°, β = 90.00°, γ = 90.00°
Space group Pm-3m (No. 221)
Unique sites:
Sr 0.0000 0.0000 0.0000 (multiplicity 1)
Cd 0.0000 0.0000 0.5000 (multiplicity 3)
Cu 0.5000 0.5000 0.5000 (multiplicity 1)



The following is a PBE calculation of a relaxed Sr2Cd3Cu crystal, from Alexandria via LeMat-Bulk.

calculated formation energy	-234	meV per atom

a = 8.3240 Å, b = 9.8522 Å, c = 16.8974 Å
α = 90.00°, β = 90.00°, γ = 90.00°
Space group Fmmm (No. 69)
Unique sites:
Sr 0.2487 0.0000 0.0000 (multiplicity 8)
Sr 0.2500 0.2500 0.2500 (multiplicity 8)
Cd 0.0000 0.0000 0.3263 (multiplicity 8)
Cd 0.0000 0.2406 0.0868 (multiplicity 16)
Cu 0.0000 0.0000 0.1655 (multiplicity 8)



Among the records above, which one has the lowest calculated formation energy?
Sr2Cd3Cu